A geometry-optimized HfSi2Mo structure. Source: Alexandria via LeMat-Bulk, functional GGA-PBE.

Cell: 6.314 6.314 6.314 Å, 90.00 90.00 90.00°
Space group Fm-3m (No. 225)
Symmetry-distinct sites (fractional):
Hf (0.000, 0.000, 0.000)
Si (0.250, 0.250, 0.250)
Mo (0.000, 0.000, 0.500)

Values from the calculation:
**Uncorrected energy**: -8.133 eV per atom

***

A geometry-optimized NdHfS3 structure. Source: Alexandria via LeMat-Bulk, functional GGA-PBE.

Cell: 5.103 16.229 5.202 Å, 90.00 90.00 90.00°
Space group Pnma (No. 62)
Symmetry-distinct sites (fractional):
Nd (0.000, 0.000, 0.000)
Hf (0.001, 0.250, 0.470)
S (0.000, 0.094, 0.502)
S (0.001, 0.250, 0.987)

Values from the calculation:
**Uncorrected energy**: -7.086 eV per atom

***

A geometry-optimized BaAu5S4 structure. Source: Alexandria via LeMat-Bulk, functional GGA-PBE.

Cell: 5.612 6.874 8.203 Å, 111.38 101.02 90.08°
Space group P-1 (No. 2)
Symmetry-distinct sites (fractional):
Ba (0.000, 0.000, 0.000)
Au (0.208, 0.304, 0.769)
Au (0.220, 0.721, 0.580)
Au (0.500, 0.000, 0.500)
S (0.050, 0.458, 0.288)
S (0.455, 0.039, 0.792)

Values from the calculation:
**Uncorrected energy**: -3.890 eV per atom

***

Q: Which energy relative to the elements, uncorrected values were calculated for the entries above? A: -0.225, -1.665, -0.408, in eV/atom.